Entry 1:
## CaSc2V (PBE)

Data for crystalline CaSc2V at its relaxed geometry.

Output
The value obtained for the energy of formation from the pure elements is 1082 meV/atom. As for the size of the total moment: 0.169 μB/atom. The distance to the lowest polymorph of the same formula comes out at 272 kJ/mol of formula units.

Cell lengths 7.1297, 7.1297, 7.1297 Å; angles 120.20, 120.20, 89.65 degrees
Fractional positions:
Ca (0.3750, 0.6250, 0.7500)
Ca (0.6250, 0.3750, 0.2500)
Sc (0.0000, 0.0000, 0.0000)
Sc (0.0000, 0.0000, 0.5000)
Sc (0.0000, 0.5000, 0.0000)
Sc (0.5000, 0.0000, 0.5000)
V (0.1250, 0.8750, 0.2500)
V (0.8750, 0.1250, 0.7500)

---

Entry 2:
## CaSc2V (PBE)

Data for crystalline CaSc2V at its relaxed geometry.

Output
The value obtained for the energy of formation from the pure elements is 378 meV/atom. As for the size of the total moment: 1.118 μB/atom. The distance to the lowest polymorph of the same formula comes out at 0 kJ/mol of formula units.

Cell lengths 5.1480, 5.1480, 5.1480 Å; angles 60.00, 60.00, 60.00 degrees
Fractional positions:
Ca (0.0000, 0.0000, 0.0000)
Sc (0.2500, 0.2500, 0.2500)
Sc (0.7500, 0.7500, 0.7500)
V (0.5000, 0.5000, 0.5000)

---

Entry 3:
## CaScV2 (PBE)

Data for crystalline CaScV2 at its relaxed geometry.

Output
The value obtained for the energy of formation from the pure elements is 715 meV/atom. As for the size of the total moment: 1.747 μB/atom. The distance to the lowest polymorph of the same formula comes out at 0 kJ/mol of formula units.

Cell lengths 5.0020, 5.0020, 5.0020 Å; angles 60.00, 60.00, 60.00 degrees
Fractional positions:
Ca (0.0000, 0.0000, 0.0000)
Sc (0.5000, 0.5000, 0.5000)
V (0.2500, 0.2500, 0.2500)
V (0.7500, 0.7500, 0.7500)